Density functional theory data (PBE) for a relaxed structure of PmGa4Pt6.

Cell lengths 6.717, 6.717, 9.302 Å; angles 90.00, 90.00, 90.00 degrees
Space group I-42m (No. 121)
One atom of each set of equivalent atoms:
Pm 0.000 0.000 0.000 x2
Ga 0.203 0.203 0.673 x8
Pt 0.000 0.500 0.000 x4
Pt 0.161 0.161 0.391 x8

Values from the calculation:
V = 19.08 Å³ per atom
E = -5.3753 eV per atom
DOS at the Fermi energy = 6.56 states/eV/f.u.
E above lowest polymorph = 260 meV per atom
Energy relative to the elements = -581 kJ/mol of formula units

Density functional theory data (PBE) for a relaxed structure of Pm3Ga4Pt4.

Cell lengths 4.210, 7.226, 14.462 Å; angles 90.00, 90.00, 90.00 degrees
Space group Immm (No. 71)
One atom of each set of equivalent atoms:
Pm 0.000 0.000 0.000 x2
Pm 0.000 0.500 0.125 x4
Ga 0.000 0.302 0.327 x8
Pt 0.000 0.000 0.215 x4
Pt 0.000 0.201 0.500 x4

Values from the calculation:
V = 20.00 Å³ per atom
E = -5.6155 eV per atom
DOS at the Fermi energy = 5.63 states/eV/f.u.
E above lowest polymorph = 0 meV per atom
Energy relative to the elements = -1085 kJ/mol of formula units